Entry 1:
{"formula": "CsTlCd10", "functional": "PBE-GGA", "state": "relaxed", "cell": [[4.749, 0.000, 0.000], [0.000, 6.545, 0.000], [0.000, 0.000, 10.977]], "species": ["Cs", "Tl", "Cd", "Cd", "Cd", "Cd", "Cd", "Cd", "Cd", "Cd", "Cd", "Cd"], "fractional_positions": [[0.000, 0.000, 0.000], [0.000, 0.500, 0.500], [0.000, 0.000, 0.344], [0.000, 0.000, 0.656], [0.000, 0.500, 0.181], [0.000, 0.500, 0.819], [0.500, 0.000, 0.500], [0.500, 0.261, 0.267], [0.500, 0.261, 0.733], [0.500, 0.500, 0.000], [0.500, 0.739, 0.267], [0.500, 0.739, 0.733]], "n_ef_per_ev_cell": 3.8, "space_group": "Pmmm, No. 47", "ef_mev_per_atom": 8}

=====

Entry 2:
{"formula": "Cs2Tl3Cd2", "functional": "PBE-GGA", "state": "relaxed", "cell": [[7.063, -2.573, 0.000], [7.063, 2.573, 0.000], [-5.517, 0.000, 7.699]], "species": ["Cs", "Cs", "Tl", "Tl", "Tl", "Cd", "Cd"], "fractional_positions": [[0.141, 0.141, 0.265], [0.859, 0.859, 0.735], [0.362, 0.362, 0.065], [0.500, 0.500, 0.500], [0.638, 0.638, 0.935], [0.123, 0.123, 0.707], [0.877, 0.877, 0.293]], "n_ef_per_ev_cell": 4.0, "space_group": "C2/m, No. 12", "ef_mev_per_atom": -63}

=====

Entry 3:
{"formula": "Cs5Tl4Cd", "functional": "PBE-GGA", "state": "relaxed", "cell": [[12.106, -2.613, 0.000], [12.106, 2.613, 0.000], [-3.749, 0.000, 9.304]], "species": ["Cs", "Cs", "Cs", "Cs", "Cs", "Tl", "Tl", "Tl", "Tl", "Cd"], "fractional_positions": [[0.000, 0.000, 0.000], [0.300, 0.300, 0.704], [0.364, 0.364, 0.221], [0.636, 0.636, 0.779], [0.700, 0.700, 0.296], [0.118, 0.118, 0.451], [0.463, 0.463, 0.641], [0.537, 0.537, 0.359], [0.882, 0.882, 0.549], [0.000, 0.000, 0.500]], "n_ef_per_ev_cell": 8.1, "space_group": "C2/m, No. 12", "ef_mev_per_atom": -58}

=====

Entry 4:
{"formula": "CsTlCd2", "functional": "PBE-GGA", "state": "relaxed", "cell": [[2.562, 1.479, 6.974], [-2.562, 1.479, 6.974], [0.000, -2.958, 6.974]], "species": ["Cs", "Tl", "Cd", "Cd"], "fractional_positions": [[0.000, 0.000, 0.000], [0.800, 0.800, 0.800], [0.194, 0.194, 0.194], [0.518, 0.518, 0.518]], "n_ef_per_ev_cell": 1.9, "e_above_lowest_polymorph_ev_per_atom": 0.016, "space_group": "R3m, No. 160", "ef_mev_per_atom": -59}

=====

Entry 5:
{"formula": "CsTl4Cd", "functional": "PBE-GGA", "state": "relaxed", "cell": [[0.000, 4.746, 4.746], [4.746, 0.000, 4.746], [4.746, 4.746, 0.000]], "species": ["Cs", "Tl", "Tl", "Tl", "Tl", "Cd"], "fractional_positions": [[0.000, 0.000, 0.000], [0.376, 0.376, 0.376], [0.376, 0.376, 0.871], [0.376, 0.871, 0.376], [0.871, 0.376, 0.376], [0.750, 0.750, 0.750]], "n_ef_per_ev_cell": 2.0, "e_above_lowest_polymorph_ev_per_atom": 0.094, "space_group": "F-43m, No. 216", "ef_mev_per_atom": 38}

=====

Entry 6:
{"formula": "Cs2Tl6Cd3", "functional": "PBE-GGA", "state": "relaxed", "cell": [[9.559, 0.000, 0.000], [-4.779, 8.278, 0.000], [0.000, 0.000, 5.055]], "species": ["Cs", "Cs", "Tl", "Tl", "Tl", "Tl", "Tl", "Tl", "Cd", "Cd", "Cd"], "fractional_positions": [[0.333, 0.667, 0.000], [0.667, 0.333, 0.000], [0.000, 0.192, 0.000], [0.000, 0.704, 0.500], [0.192, 0.000, 0.000], [0.296, 0.296, 0.500], [0.704, 0.000, 0.500], [0.808, 0.808, 0.000], [0.000, 0.371, 0.500], [0.371, 0.000, 0.500], [0.629, 0.629, 0.500]], "n_ef_per_ev_cell": 9.5, "space_group": "P-62m, No. 189", "ef_mev_per_atom": -27}